Computed, not measured: a relaxed structure of AsPBr2Cl at the PBE-GGA level of DFT.

Output
**DOS(E_F)**: 2.7 states/eV/f.u.
**Energy above the most stable polymorph in this dataset**: 0 meV per atom
**ΔE_f (raw)**: 374.4 meV/atom

a b c (Å): 4.9521 4.9521 5.1937
angles (deg): 90.00 90.00 90.00
Space group P4/mmm (No. 123)
Unique sites:
As1 0.0000 0.0000 0.0000 (multiplicity 1)
P1 0.0000 0.0000 0.5000 (multiplicity 1)
Br1 0.0000 0.5000 0.5000 (multiplicity 2)
Cl1 0.5000 0.5000 0.0000 (multiplicity 1)


Computed, not measured: a relaxed structure of AsP2BrCl at the PBE-GGA level of DFT.

Output
**DOS(E_F)**: 3.7 states/eV/f.u.
**Energy above the most stable polymorph in this dataset**: 0 meV per atom
**ΔE_f (raw)**: 739.1 meV/atom

a b c (Å): 4.9433 4.9433 4.9100
angles (deg): 90.00 90.00 90.00
Space group P4/mmm (No. 123)
Unique sites:
As1 0.0000 0.0000 0.0000 (multiplicity 1)
P1 0.0000 0.5000 0.0000 (multiplicity 2)
Br1 0.5000 0.5000 0.5000 (multiplicity 1)
Cl1 0.0000 0.0000 0.5000 (multiplicity 1)


Computed, not measured: a relaxed structure of As2PdBrCl at the PBE-GGA level of DFT.

Output
**DOS(E_F)**: 7.0 states/eV/f.u.
**Energy above the most stable polymorph in this dataset**: 699 meV per atom
**ΔE_f (raw)**: 1099.0 meV/atom

a b c (Å): 4.7254 4.7254 6.2053
angles (deg): 90.00 90.00 90.00
Space group P4/mmm (No. 123)
Unique sites:
As1 0.0000 0.5000 0.0000 (multiplicity 2)
Pd1 0.0000 0.0000 0.5000 (multiplicity 1)
Br1 0.5000 0.5000 0.5000 (multiplicity 1)
Cl1 0.5000 0.5000 0.0000 (multiplicity 1)


Computed, not measured: a relaxed structure of As2PdBrCl at the PBE-GGA level of DFT.

Output
**DOS(E_F)**: 4.4 states/eV/f.u.
**Energy above the most stable polymorph in this dataset**: 0 meV per atom
**ΔE_f (raw)**: 400.5 meV/atom

a b c (Å): 4.9149 4.9149 5.1587
angles (deg): 90.00 90.00 90.00
Space group P4/mmm (No. 123)
Unique sites:
As1 0.0000 0.5000 0.0000 (multiplicity 2)
Pd1 0.0000 0.0000 0.0000 (multiplicity 1)
Br1 0.0000 0.0000 0.5000 (multiplicity 1)
Cl1 0.5000 0.5000 0.5000 (multiplicity 1)


Computed, not measured: a relaxed structure of AsPtBr2Cl at the PBE-GGA level of DFT.

Output
**DOS(E_F)**: 5.7 states/eV/f.u.
**Energy above the most stable polymorph in this dataset**: 0 meV per atom
**ΔE_f (raw)**: 283.8 meV/atom

a b c (Å): 5.2033 5.2033 4.8370
angles (deg): 90.00 90.00 90.00
Space group P4/mmm (No. 123)
Unique sites:
As1 0.0000 0.0000 0.0000 (multiplicity 1)
Pt1 0.0000 0.0000 0.5000 (multiplicity 1)
Br1 0.0000 0.5000 0.5000 (multiplicity 2)
Cl1 0.5000 0.5000 0.0000 (multiplicity 1)


Computed, not measured: a relaxed structure of AsPtBr2Cl at the PBE-GGA level of DFT.

Output
**DOS(E_F)**: 4.5 states/eV/f.u.
**Energy above the most stable polymorph in this dataset**: 990 meV per atom
**ΔE_f (raw)**: 1273.8 meV/atom

a b c (Å): 5.0400 5.0400 5.2107
angles (deg): 90.00 90.00 90.00
Space group P4/mmm (No. 123)
Unique sites:
As1 0.0000 0.0000 0.0000 (multiplicity 1)
Pt1 0.5000 0.5000 0.0000 (multiplicity 1)
Br1 0.0000 0.5000 0.5000 (multiplicity 2)
Cl1 0.0000 0.0000 0.5000 (multiplicity 1)


Computed, not measured: a relaxed structure of RbAsBrCl2 at the PBE-GGA level of DFT.

Output
**DOS(E_F)**: 0.1 states/eV/f.u.
**ΔE_f (raw)**: -952.3 meV/atom

a b c (Å): 5.2470 5.2470 5.4738
angles (deg): 90.00 90.00 90.00
Space group P4/mmm (No. 123)
Unique sites:
Rb1 0.0000 0.0000 0.0000 (multiplicity 1)
As1 0.5000 0.5000 0.5000 (multiplicity 1)
Br1 0.5000 0.5000 0.0000 (multiplicity 1)
Cl1 0.0000 0.5000 0.5000 (multiplicity 2)


Computed, not measured: a relaxed structure of Rb2AsBr2Cl4 at the PBE-GGA level of DFT.

Output
**DOS(E_F)**: 4.1 states/eV/f.u.
**ΔE_f (raw)**: -1135.8 meV/atom

a b c (Å): 7.4686 7.4686 10.1773
angles (deg): 90.00 90.00 90.00
Space group I4/mmm (No. 139)
Unique sites:
Rb1 0.0000 0.5000 0.2500 (multiplicity 4)
As1 0.0000 0.0000 0.0000 (multiplicity 2)
Br1 0.0000 0.0000 0.2522 (multiplicity 4)
Cl1 0.2288 0.2288 0.0000 (multiplicity 8)


Computed, not measured: a relaxed structure of RbAsBr2Cl at the PBE-GGA level of DFT.

Output
**DOS(E_F)**: 0.1 states/eV/f.u.
**Energy above the most stable polymorph in this dataset**: 0 meV per atom
**ΔE_f (raw)**: -896.3 meV/atom

a b c (Å): 5.4909 5.4909 5.2480
angles (deg): 90.00 90.00 90.00
Space group P4/mmm (No. 123)
Unique sites:
Rb1 0.0000 0.0000 0.0000 (multiplicity 1)
As1 0.5000 0.5000 0.5000 (multiplicity 1)
Br1 0.0000 0.5000 0.5000 (multiplicity 2)
Cl1 0.5000 0.5000 0.0000 (multiplicity 1)


Computed, not measured: a relaxed structure of RbAsBr2Cl at the PBE-GGA level of DFT.

Output
**DOS(E_F)**: 5.7 states/eV/f.u.
**Energy above the most stable polymorph in this dataset**: 673 meV per atom
**ΔE_f (raw)**: -223.6 meV/atom

a b c (Å): 6.5768 6.5768 4.5849
angles (deg): 90.00 90.00 90.00
Space group P4/mmm (No. 123)
Unique sites:
Rb1 0.0000 0.0000 0.0000 (multiplicity 1)
As1 0.5000 0.5000 0.0000 (multiplicity 1)
Br1 0.0000 0.5000 0.5000 (multiplicity 2)
Cl1 0.5000 0.5000 0.5000 (multiplicity 1)


Computed, not measured: a relaxed structure of Rb2AsBr4Cl2 at the PBE-GGA level of DFT.

Output
**DOS(E_F)**: 3.8 states/eV/f.u.
**ΔE_f (raw)**: -1053.0 meV/atom

a b c (Å): 7.4490 7.4490 10.7697
angles (deg): 90.00 90.00 90.00
Space group I4/mmm (No. 139)
Unique sites:
Rb1 0.0000 0.5000 0.2500 (multiplicity 4)
As1 0.0000 0.0000 0.0000 (multiplicity 2)
Br1 0.2447 0.2447 0.0000 (multiplicity 8)
Cl1 0.0000 0.0000 0.2250 (multiplicity 4)


Computed, not measured: a relaxed structure of RbAsBr2Cl at the PBE-GGA level of DFT.

Output
**DOS(E_F)**: 17.7 states/eV/f.u.
**Energy above the most stable polymorph in this dataset**: 1285 meV per atom
**ΔE_f (raw)**: 389.0 meV/atom

a b c (Å): 6.4051 6.4051 10.3950
angles (deg): 90.00 90.00 90.00
Space group P4/mmm (No. 123)
Unique sites:
Rb1 0.0000 0.0000 0.0000 (multiplicity 1)
As1 0.0000 0.0000 0.5000 (multiplicity 1)
Br1 0.0000 0.5000 0.0000 (multiplicity 2)
Cl1 0.5000 0.5000 0.5000 (multiplicity 1)


Computed, not measured: a relaxed structure of ReAsBr2Cl at the PBE-GGA level of DFT.

Output
**DOS(E_F)**: 1.5 states/eV/f.u.
**Energy above the most stable polymorph in this dataset**: 1248 meV per atom
**ΔE_f (raw)**: 1659.4 meV/atom

a b c (Å): 5.0742 5.0742 5.3759
angles (deg): 90.00 90.00 90.00
Space group P4/mmm (No. 123)
Unique sites:
Re1 0.0000 0.0000 0.0000 (multiplicity 1)
As1 0.5000 0.5000 0.0000 (multiplicity 1)
Br1 0.0000 0.5000 0.5000 (multiplicity 2)
Cl1 0.5000 0.5000 0.5000 (multiplicity 1)


Computed, not measured: a relaxed structure of ReAsBr2Cl at the PBE-GGA level of DFT.

Output
**DOS(E_F)**: 3.9 states/eV/f.u.
**Energy above the most stable polymorph in this dataset**: 0 meV per atom
**ΔE_f (raw)**: 410.9 meV/atom

a b c (Å): 5.0577 5.0577 4.8433
angles (deg): 90.00 90.00 90.00
Space group P4/mmm (No. 123)
Unique sites:
Re1 0.0000 0.0000 0.0000 (multiplicity 1)
As1 0.0000 0.0000 0.5000 (multiplicity 1)
Br1 0.0000 0.5000 0.0000 (multiplicity 2)
Cl1 0.5000 0.5000 0.5000 (multiplicity 1)


| no. | E_tot (eV per formula unit) |
| --- | --- |
| 1 | -13.38 |
| 2 | -15.29 |
| 3 | -12.52 |
| 4 | -16.01 |
| 5 | -14.46 |
| 6 | -9.51 |
| 7 | -15.74 |
| 8 | -27.54 |
| 9 | -15.29 |
| 10 | -11.93 |
| 11 | -26.45 |
| 12 | -8.86 |
| 13 | -13.99 |
| 14 | -20.24 |